# K3LaN | Alexandria via LeMat-Bulk | PBE-GGA | relaxed
data_K3LaN
_chemical_formula_sum 'K3 La1 N1'
_symmetry_space_group_name_H-M 'P m -3 m'
_symmetry_Int_Tables_number 221
_symmetry_space_group_name_Hall '-P 4 2 3'
_cell_length_a 5.759
_cell_length_b 5.759
_cell_length_c 5.759
_cell_angle_alpha 90.00
_cell_angle_beta 90.00
_cell_angle_gamma 90.00
loop_
_atom_site_label
_atom_site_type_symbol
_atom_site_fract_x
_atom_site_fract_y
_atom_site_fract_z
K1 K 0.000 0.000 0.500
La1 La 0.500 0.500 0.500
N1 N 0.000 0.000 0.000
# Energy relative to the lowest polymorph listed for this composition   0.000 eV/atom
# Uncorrected energy   -2.402 eV/atom
# Formation energy (no corrections)   907 meV/atom
# Magnetization   0.25 μB per atom

# BeCoAg2 | Alexandria via LeMat-Bulk | PBE-GGA | relaxed
data_BeCoAg2
_chemical_formula_sum 'Be4 Co4 Ag8'
_symmetry_space_group_name_H-M 'F -4 3 m'
_symmetry_Int_Tables_number 216
_symmetry_space_group_name_Hall 'F -4 2 3'
_cell_length_a 6.070
_cell_length_b 6.070
_cell_length_c 6.070
_cell_angle_alpha 90.00
_cell_angle_beta 90.00
_cell_angle_gamma 90.00
loop_
_atom_site_label
_atom_site_type_symbol
_atom_site_fract_x
_atom_site_fract_y
_atom_site_fract_z
Be1 Be 0.000 0.000 0.000
Co1 Co 0.250 0.250 0.250
Ag1 Ag 0.000 0.000 0.500
Ag2 Ag 0.250 0.250 0.750
# ΔH_f (0 K)   0.44 eV/atom
# Uncorrected energy   -3.691 eV/atom
# Magnetization   0.19 μB per atom

> What is the uncorrected energy in the first record?

-2.402 eV/atom

> Which of these has the highest magnetization?

K3LaN